## Co2OsBr (SCAN)

Data for a crystal of Co2OsBr relaxed with PBEsol.

Cell and atoms, written as POSCAR:
```
Co2OsBr
1.0
2.6258 -3.6088 0.0000
2.6258 3.6088 0.0000
0.0000 0.0000 2.7430
Co Os Br
2 1 1
Direct
0.0000 0.5000 0.0000 Co
0.5000 0.0000 0.0000 Co
0.0000 0.0000 0.5000 Os
0.5000 0.5000 0.5000 Br
```

Values from the calculation:
Spin magnetization, μB per formula unit: 4.31
ΔE to the lowest computed polymorph, kJ/mol of formula units: 138
Formation energy (no corrections), eV per atom: 1.0384
V, Å³ per cell: 52
Raw total energy, eV per atom: -30.45
Symmetry: Cmmm (65)

## CoOsBr2 (SCAN)

Data for a crystal of CoOsBr2 relaxed with PBEsol.

Cell and atoms, written as POSCAR:
```
CoOsBr2
1.0
3.1192 0.0000 0.0000
0.0000 3.1192 0.0000
0.0000 0.0000 6.3092
Co Os Br
1 1 2
Direct
0.0000 0.0000 0.0000 Co
0.0000 0.0000 0.5000 Os
0.5000 0.5000 0.2417 Br
0.5000 0.5000 0.7583 Br
```

Values from the calculation:
Spin magnetization, μB per formula unit: 1.70
ΔE to the lowest computed polymorph, kJ/mol of formula units: 114
Formation energy (no corrections), eV per atom: 1.5642
V, Å³ per cell: 61
Raw total energy, eV per atom: -30.46
Symmetry: P4/mmm (123)

## CoOs2Br (SCAN)

Data for a crystal of CoOs2Br relaxed with PBEsol.

Cell and atoms, written as POSCAR:
```
CoOs2Br
1.0
2.7797 0.0000 0.0000
0.0000 3.4836 0.0000
0.0000 0.0000 6.5821
Co Os Br
1 2 1
Direct
0.0000 0.0000 0.0000 Co
0.0000 0.0000 0.3844 Os
0.5000 0.5000 0.1977 Os
0.0000 0.5000 0.7145 Br
```

Values from the calculation:
Spin magnetization, μB per formula unit: 1.74
ΔE to the lowest computed polymorph, kJ/mol of formula units: 0
Formation energy (no corrections), eV per atom: 0.7218
V, Å³ per cell: 64
Raw total energy, eV per atom: -44.41
Symmetry: Pmm2 (25)

## Co2OsBr (SCAN)

Data for a crystal of Co2OsBr relaxed with PBEsol.

Cell and atoms, written as POSCAR:
```
Co2OsBr
1.0
1.3750 -2.2971 0.0000
1.3750 2.2971 0.0000
0.0000 0.0000 9.3976
Co Os Br
2 1 1
Direct
0.0000 0.0000 0.0000 Co
0.5000 0.5000 0.1983 Co
0.5000 0.5000 0.7814 Os
0.0000 0.0000 0.4325 Br
```

Values from the calculation:
Spin magnetization, μB per formula unit: 4.30
ΔE to the lowest computed polymorph, kJ/mol of formula units: 93
Formation energy (no corrections), eV per atom: 0.9207
V, Å³ per cell: 59
Raw total energy, eV per atom: -30.57
Symmetry: Cmm2 (35)